(1)
Here is a geometry-optimized AlFeSCl structure from Alexandria via LeMat-Bulk. Energies are from GGA-PBE.

Cell lengths 8.2686, 3.1952, 5.4903 Å; angles 90.00, 102.95, 90.00 degrees
Closest atoms and distances in Å follow each position.
Positions (direct):
S  0.3198  0.0000  0.5700  3 Fe 2.11
S  0.3198  0.5000  0.0700  3 Fe 2.11
Al  0.6277  0.0000  0.6741  1 Cl 2.29, 1 S 2.48
Al  0.6277  0.5000  0.1741  1 Cl 2.29, 1 S 2.48
Fe  0.1907  0.0000  0.8612  3 S 2.11, 1 Cl 2.25
Fe  0.1907  0.5000  0.3612  3 S 2.11, 1 Cl 2.25
Cl  0.9117  0.0000  0.7750  1 Fe 2.25, 1 Al 2.29
Cl  0.9117  0.5000  0.2750  1 Fe 2.25, 1 Al 2.29

Summary:
- formation energy without anion corrections (kJ per mole of atoms) = -23
- SG = Cm (8)
- D(E_F) (states/eV per cell) = 4.415

=====

(2)
Here is a geometry-optimized AlTlFeCl6 structure from Alexandria via LeMat-Bulk. Energies are from GGA-PBE.

Cell lengths 6.3273, 6.3272, 7.2017 Å; angles 89.97, 90.02, 59.96 degrees
Closest atoms and distances in Å follow each position.
Positions (direct):
Al  0.3335  0.3336  0.5000  6 Cl 2.35
Tl  0.0000  0.0000  0.0000  6 Cl 3.26
Fe  0.6667  0.6667  0.5000  6 Cl 2.48
Cl  0.0148  0.3651  0.3117  1 Al 2.35, 1 Fe 2.48
Cl  0.3650  0.0148  0.6882  1 Al 2.35, 1 Fe 2.48
Cl  0.6183  0.3667  0.6892  1 Al 2.35, 1 Fe 2.48
Cl  0.0153  0.6196  0.6884  1 Al 2.35, 1 Fe 2.48
Cl  0.3667  0.6183  0.3108  1 Al 2.35, 1 Fe 2.48
Cl  0.6196  0.0153  0.3116  1 Al 2.35, 1 Fe 2.48

Summary:
- formation energy without anion corrections (kJ per mole of atoms) = -109
- SG = C2 (5)
- D(E_F) (states/eV per cell) = 5.789

=====

(3)
Here is a geometry-optimized AlTlFe2Cl8 structure from Alexandria via LeMat-Bulk. Energies are from GGA-PBE.

Cell lengths 6.1808, 6.1808, 9.3230 Å; angles 86.63, 86.63, 68.57 degrees
Closest atoms and distances in Å follow each position.
Positions (direct):
Al  0.0000  0.0000  0.0000  6 Cl 2.33-2.37
Tl  0.0000  0.0000  0.5000  6 Cl 3.28-3.40
Fe  0.6308  0.6308  0.1994  4 Cl 2.21-2.36
Fe  0.3692  0.3692  0.8006  4 Cl 2.21-2.36
Cl  0.7764  0.2518  0.8173  1 Fe 2.36, 1 Al 2.37
Cl  0.7727  0.7727  0.9947  1 Fe 2.31, 1 Al 2.33
Cl  0.6917  0.6917  0.4226  1 Fe 2.21
Cl  0.3083  0.3083  0.5774  1 Fe 2.21
Cl  0.2273  0.2273  0.0053  1 Fe 2.31, 1 Al 2.33
Cl  0.2518  0.7764  0.8173  1 Fe 2.36, 1 Al 2.37
Cl  0.7482  0.2236  0.1827  1 Fe 2.36, 1 Al 2.37
Cl  0.2236  0.7482  0.1827  1 Fe 2.36, 1 Al 2.37

Summary:
- formation energy without anion corrections (kJ per mole of atoms) = -93
- SG = C2/m (12)
- D(E_F) (states/eV per cell) = 11.922

=====

(4)
Here is a geometry-optimized ZrAl2FeCl structure from Alexandria via LeMat-Bulk. Energies are from GGA-PBE.

Cell lengths 4.5818, 4.7390, 4.5818 Å; angles 90.00, 90.00, 90.00 degrees
Closest atoms and distances in Å follow each position.
Positions (direct):
Al  0.0000  0.0000  0.5000  2 Fe 2.29
Al  0.5000  0.0000  0.0000  2 Fe 2.29
Fe  0.0000  0.0000  0.0000  4 Al 2.29, 2 Zr 2.37
Zr  0.0000  0.5000  0.0000  2 Fe 2.37
Cl  0.5000  0.5000  0.5000  4 Zr 3.24, 8 Al 3.30

Summary:
- formation energy without anion corrections (kJ per mole of atoms) = -14
- SG = P4/mmm (123)
- D(E_F) (states/eV per cell) = 2.377

=====

(5)
Here is a geometry-optimized Al2GaCl8 structure from Alexandria via LeMat-Bulk. Energies are from GGA-PBE.

Cell lengths 6.1451, 7.8666, 7.8666 Å; angles 75.37, 85.35, 85.35 degrees
Closest atoms and distances in Å follow each position.
Positions (direct):
Al  0.3500  0.1938  0.1938  4 Cl 2.10-2.20
Al  0.6500  0.8062  0.8062  4 Cl 2.10-2.20
Ga  0.0000  0.0000  0.0000  6 Cl 2.63-2.71
Cl  0.7693  0.0724  0.7200  1 Al 2.20
Cl  0.2307  0.2800  0.9276  1 Al 2.20
Cl  0.7067  0.1782  0.1782  1 Al 2.18
Cl  0.2933  0.8218  0.8218  1 Al 2.18
Cl  0.7693  0.7200  0.0724  1 Al 2.20
Cl  0.2307  0.9276  0.2800  1 Al 2.20
Cl  0.2341  0.3585  0.3585  1 Al 2.10
Cl  0.7659  0.6415  0.6415  1 Al 2.10

Summary:
- formation energy without anion corrections (kJ per mole of atoms) = -125
- SG = C2/m (12)
- D(E_F) (states/eV per cell) = 2.640

=====

(6)
Here is a geometry-optimized AlGaCl4 structure from Alexandria via LeMat-Bulk. Energies are from GGA-PBE.

Cell lengths 10.1838, 7.3366, 12.2869 Å; angles 54.74, 90.00, 90.00 degrees
Closest atoms and distances in Å follow each position.
Positions (direct):
Al  0.5255  0.4373  0.3112  4 Cl 2.16-2.17
Al  0.0255  0.5627  0.1888  4 Cl 2.16-2.17
Al  0.4745  0.5627  0.6888  4 Cl 2.16-2.17
Al  0.9745  0.4373  0.8112  4 Cl 2.16-2.17
Ga  0.2803  0.8568  0.2587  4 Cl 2.94-3.08
Ga  0.7803  0.1432  0.2413  4 Cl 2.94-3.08
Ga  0.7197  0.1432  0.7413  4 Cl 2.94-3.08
Ga  0.2197  0.8568  0.7587  4 Cl 2.94-3.08
Cl  0.9467  0.7946  0.6884  1 Al 2.16
Cl  0.4467  0.2054  0.8116  1 Al 2.16
Cl  0.0533  0.2054  0.3116  1 Al 2.16
Cl  0.5533  0.7946  0.1884  1 Al 2.16
Cl  0.6955  0.2607  0.4343  1 Al 2.17
Cl  0.1955  0.7393  0.0657  1 Al 2.17
Cl  0.3045  0.7393  0.5657  1 Al 2.17
Cl  0.8045  0.2607  0.9343  1 Al 2.17
Cl  0.9991  0.6878  0.3090  1 Al 2.16
Cl  0.4991  0.3122  0.1910  1 Al 2.16
Cl  0.0009  0.3122  0.6910  1 Al 2.16
Cl  0.5009  0.6878  0.8090  1 Al 2.16
Cl  0.6469  0.6180  0.5699  1 Al 2.17
Cl  0.1469  0.3820  0.9301  1 Al 2.17
Cl  0.3531  0.3820  0.4301  1 Al 2.17
Cl  0.8531  0.6180  0.0699  1 Al 2.17

Summary:
- formation energy without anion corrections (kJ per mole of atoms) = -125
- SG = P2_1/c (14)
- D(E_F) (states/eV per cell) = 0.000

=====

(7)
Here is a geometry-optimized AlGa3Cl structure from Alexandria via LeMat-Bulk. Energies are from GGA-PBE.

Cell lengths 5.0702, 5.0702, 5.0702 Å; angles 90.00, 90.00, 90.00 degrees
Closest atoms and distances in Å follow each position.
Positions (direct):
Al  0.0000  0.0000  0.0000  6 Ga 2.54
Ga  0.0000  0.5000  0.0000  2 Al 2.54
Ga  0.0000  0.0000  0.5000  2 Al 2.54
Ga  0.5000  0.0000  0.0000  2 Al 2.54
Cl  0.5000  0.5000  0.5000  12 Ga 3.59

Summary:
- formation energy without anion corrections (kJ per mole of atoms) = 9
- SG = Pm-3m (221)
- D(E_F) (states/eV per cell) = 3.119

=====

(8)
Here is a geometry-optimized AlGa2Cl structure from Alexandria via LeMat-Bulk. Energies are from GGA-PBE.

Cell lengths 4.8851, 4.8851, 4.8851 Å; angles 60.00, 60.00, 60.00 degrees
Closest atoms and distances in Å follow each position.
Positions (direct):
Al  0.0000  0.0000  0.0000  8 Ga 2.99
Ga  0.2500  0.2500  0.2500  4 Cl 2.99, 4 Al 2.99
Ga  0.7500  0.7500  0.7500  4 Cl 2.99, 4 Al 2.99
Cl  0.5000  0.5000  0.5000  8 Ga 2.99

Summary:
- formation energy without anion corrections (kJ per mole of atoms) = 9
- SG = Fm-3m (225)
- D(E_F) (states/eV per cell) = 1.677

=====

(9)
Here is a geometry-optimized AlGaCl4 structure from Alexandria via LeMat-Bulk. Energies are from GGA-PBE.

Cell lengths 5.1044, 7.0605, 12.8210 Å; angles 106.36, 90.00, 111.19 degrees
Closest atoms and distances in Å follow each position.
Positions (direct):
Al  0.0908  0.1816  0.7397  3 Cl 2.14-2.19
Al  0.9092  0.8184  0.2603  3 Cl 2.14-2.19
Ga  0.1786  0.3573  0.1950  4 Cl 2.75-3.07
Ga  0.8214  0.6427  0.8050  4 Cl 2.75-3.07
Cl  0.0665  0.1331  0.3732  1 Al 2.14
Cl  0.1069  0.2138  0.9109  1 Al 2.14
Cl  0.7622  0.5244  0.3072  1 Al 2.19
Cl  0.6022  0.2044  0.7344  2 Al 2.56, 1 Ga 2.75
Cl  0.3978  0.7956  0.2656  2 Al 2.56, 1 Ga 2.75
Cl  0.2378  0.4756  0.6928  1 Al 2.19
Cl  0.8931  0.7862  0.0891  1 Al 2.14
Cl  0.9335  0.8669  0.6268  1 Al 2.14

Summary:
- formation energy without anion corrections (kJ per mole of atoms) = -115
- SG = C2/m (12)
- D(E_F) (states/eV per cell) = 0.000

=====

(10)
Here is a geometry-optimized Al2GaCl structure from Alexandria via LeMat-Bulk. Energies are from GGA-PBE.

Cell lengths 4.7663, 4.7663, 4.7663 Å; angles 60.00, 60.00, 60.00 degrees
Closest atoms and distances in Å follow each position.
Positions (direct):
Al  0.2500  0.2500  0.2500  4 Ga 2.92, 4 Cl 2.92
Al  0.7500  0.7500  0.7500  4 Ga 2.92, 4 Cl 2.92
Ga  0.5000  0.5000  0.5000  8 Al 2.92
Cl  0.0000  0.0000  0.0000  8 Al 2.92

Summary:
- formation energy without anion corrections (kJ per mole of atoms) = 11
- SG = Fm-3m (225)
- D(E_F) (states/eV per cell) = 1.305

=====

(11)
Here is a geometry-optimized AlGa3Cl structure from Alexandria via LeMat-Bulk. Energies are from GGA-PBE.

Cell lengths 5.2466, 5.2466, 5.2466 Å; angles 90.00, 90.00, 90.00 degrees
Closest atoms and distances in Å follow each position.
Positions (direct):
Al  0.5000  0.5000  0.5000  12 Ga 3.71
Ga  0.0000  0.5000  0.0000  2 Cl 2.62
Ga  0.0000  0.0000  0.5000  2 Cl 2.62
Ga  0.5000  0.0000  0.0000  2 Cl 2.62
Cl  0.0000  0.0000  0.0000  6 Ga 2.62

Summary:
- formation energy without anion corrections (kJ per mole of atoms) = 44
- SG = Pm-3m (221)
- D(E_F) (states/eV per cell) = 6.022

=====

(12)
Here is a geometry-optimized Al2GaCl structure from Alexandria via LeMat-Bulk. Energies are from GGA-PBE.

Cell lengths 5.8120, 5.8120, 7.4661 Å; angles 67.09, 67.09, 90.00 degrees
Closest atoms and distances in Å follow each position.
Positions (direct):
Al  0.6663  0.1250  0.2500  2 Ga 2.45, 2 Cl 2.72
Al  0.0837  0.6250  0.2500  2 Ga 2.45, 2 Cl 2.72
Al  0.3750  0.3337  0.7500  2 Ga 2.45, 2 Cl 2.72
Al  0.8750  0.9163  0.7500  2 Ga 2.45, 2 Cl 2.72
Ga  0.0000  0.0000  0.0000  4 Al 2.45
Ga  0.7500  0.2500  0.5000  4 Al 2.45
Cl  0.5000  0.5000  0.0000  4 Al 2.72
Cl  0.2500  0.7500  0.5000  4 Al 2.72

Summary:
- formation energy without anion corrections (kJ per mole of atoms) = -2
- SG = I-42d (122)
- D(E_F) (states/eV per cell) = 0.000

=====

Number 1: VASP energy -38.30 eV/cell, total moment 0.000 μB/atom. Number 2: VASP energy -35.81 eV/cell, total moment 0.444 μB/atom. Number 3: VASP energy -49.39 eV/cell, total moment 0.667 μB/atom. Number 4: VASP energy -27.06 eV/cell, total moment 0.000 μB/atom. Number 5: VASP energy -39.58 eV/cell, total moment 0.090 μB/atom. Number 6: VASP energy -87.76 eV/cell, total moment 0.000 μB/atom. Number 7: VASP energy -14.21 eV/cell, total moment 0.000 μB/atom. Number 8: VASP energy -11.28 eV/cell, total moment 0.000 μB/atom. Number 9: VASP energy -42.66 eV/cell, total moment 0.000 μB/atom. Number 10: VASP energy -11.89 eV/cell, total moment 0.000 μB/atom. Number 11: VASP energy -12.39 eV/cell, total moment 0.000 μB/atom. Number 12: VASP energy -24.86 eV/cell, total moment 0.000 μB/atom.